Material: PmErZrN3
Method: DFT, PBE
State: relaxed

a b c (Å): 6.371 3.308 9.644
angles (deg): 90.00 93.70 90.00
Sites, in units of the cell vectors:
1 Pm 0.169 0.250 0.222
2 Pm 0.831 0.750 0.778
3 Er 0.204 0.250 0.576
4 Er 0.796 0.750 0.424
5 Zr 0.342 0.750 0.895
6 Zr 0.658 0.250 0.105
7 N 0.134 0.250 0.829
8 N 0.161 0.750 0.424
9 N 0.398 0.750 0.112
10 N 0.602 0.250 0.888
11 N 0.839 0.250 0.576
12 N 0.866 0.750 0.171

Summary:
**Total energy**: -0.6239 Ry per atom
**Uncorrected formation energy**: -8.09 eV per formula unit
**Volume**: 101.39 Å³/f.u.


Material: BaZn
Method: DFT, PBE
State: relaxed

a b c (Å): 6.359 6.359 6.359
angles (deg): 133.47 133.47 67.92
Sites, in units of the cell vectors:
1 Ba 0.375 0.625 0.750
2 Ba 0.625 0.375 0.250
3 Zn 0.125 0.875 0.250
4 Zn 0.875 0.125 0.750

Summary:
**DFT formation energy**: 24 meV per atom
**Total energy**: -0.1157 Ry per atom
**Volume**: 66.53 Å³/f.u.


Material: ZrCu2Au
Method: DFT, PBE
State: relaxed

a b c (Å): 3.077 4.519 4.819
angles (deg): 90.00 90.00 90.00
Sites, in units of the cell vectors:
1 Zr 0.000 0.000 0.000
2 Cu 0.000 0.500 0.500
3 Cu 0.500 0.500 0.000
4 Au 0.500 0.000 0.500

Summary:
**DFT formation energy**: -5 meV per atom
**Total energy**: -0.3682 Ry per atom
**Volume**: 66.99 Å³/f.u.


Material: KMnMo4
Method: DFT, PBE
State: relaxed

a b c (Å): 5.406 5.406 5.406
angles (deg): 60.00 60.00 60.00
Sites, in units of the cell vectors:
1 K 0.000 0.000 0.000
2 Mn 0.750 0.750 0.750
3 Mo 0.374 0.374 0.374
4 Mo 0.374 0.374 0.878
5 Mo 0.374 0.878 0.374
6 Mo 0.878 0.374 0.374

Summary:
**DFT formation energy**: 1091 meV per atom
**Total energy**: -0.5763 Ry per atom
**Volume**: 111.70 Å³/f.u.


Material: Li3NpTl2F12
Method: DFT, PBE
State: relaxed

a b c (Å): 9.083 9.083 9.083
angles (deg): 42.66 42.66 42.66
Sites, in units of the cell vectors:
1 Li 0.000 0.500 0.500
2 Li 0.500 0.000 0.500
3 Li 0.500 0.500 0.000
4 Np 0.500 0.500 0.500
5 Tl 0.068 0.068 0.068
6 Tl 0.932 0.932 0.932
7 F 0.156 0.156 0.593
8 F 0.156 0.593 0.156
9 F 0.163 0.596 0.596
10 F 0.404 0.404 0.837
11 F 0.404 0.837 0.404
12 F 0.407 0.844 0.844
13 F 0.593 0.156 0.156
14 F 0.596 0.163 0.596
15 F 0.596 0.596 0.163
16 F 0.837 0.404 0.404
17 F 0.844 0.407 0.844
18 F 0.844 0.844 0.407

Summary:
**Total energy**: -0.3714 Ry per atom
**Uncorrected formation energy**: -45.10 eV per formula unit
**Volume**: 311.68 Å³/f.u.


Material: CaMoN3
Method: DFT, PBE
State: relaxed

a b c (Å): 3.931 6.141 6.687
angles (deg): 81.06 73.50 75.48
Sites, in units of the cell vectors:
1 Ca 0.000 0.000 0.000
2 Ca 0.194 0.373 0.321
3 Mo 0.484 0.392 0.718
4 Mo 0.762 0.854 0.544
5 N 0.176 0.912 0.651
6 N 0.371 0.735 0.756
7 N 0.427 0.224 0.969
8 N 0.681 0.211 0.483
9 N 0.857 0.754 0.297
10 N 0.983 0.502 0.669

Summary:
**Total energy**: -0.5925 Ry per atom
**Uncorrected formation energy**: -2.50 eV per formula unit
**Volume**: 74.63 Å³/f.u.


Material: PtRhPb3
Method: DFT, PBE
State: relaxed

a b c (Å): 5.189 5.189 5.189
angles (deg): 90.00 90.00 90.00
Sites, in units of the cell vectors:
1 Pt 0.000 0.000 0.000
2 Rh 0.500 0.500 0.500
3 Pb 0.000 0.500 0.500
4 Pb 0.500 0.000 0.500
5 Pb 0.500 0.500 0.000

Summary:
**DFT formation energy**: 377 meV per atom
**Total energy**: -0.3327 Ry per atom
**Volume**: 139.74 Å³/f.u.


Material: AcYThIn
Method: DFT, PBE
State: relaxed

a b c (Å): 5.647 5.647 5.647
angles (deg): 60.00 60.00 60.00
Sites, in units of the cell vectors:
1 Ac 0.000 0.000 0.000
2 Y 0.250 0.250 0.250
3 Th 0.750 0.750 0.750
4 In 0.500 0.500 0.500

Summary:
**DFT formation energy**: 15 meV per atom
**Total energy**: -0.3799 Ry per atom
**Volume**: 127.35 Å³/f.u.